No. 1
The following is a SCAN calculation of a crystal of Ba2In5As5 relaxed with PBEsol, from Alexandria.

Computed properties:
**E_form**: -650 meV per atom
**DOS at the Fermi energy**: 0.448 states/eV per cell

a b c (Å): 17.4288 4.2960 17.9296
angles (deg): 90.00 90.00 90.00
Space group Pnma (No. 62)
Unique sites:
Ba 0.0213 0.2500 0.1206 (multiplicity 4)
Ba 0.0433 0.2500 0.6311 (multiplicity 4)
In 0.1565 0.2500 0.3130 (multiplicity 4)
In 0.1695 0.7500 0.4717 (multiplicity 4)
In 0.1732 0.2500 0.9412 (multiplicity 4)
In 0.1883 0.7500 0.7796 (multiplicity 4)
In 0.2108 0.7500 0.1273 (multiplicity 4)
As 0.0794 0.2500 0.4440 (multiplicity 4)
As 0.1020 0.2500 0.8090 (multiplicity 4)
As 0.1050 0.7500 0.2370 (multiplicity 4)
As 0.1135 0.7500 0.0114 (multiplicity 4)
As 0.1955 0.7500 0.6259 (multiplicity 4)

---

No. 2
The following is a SCAN calculation of a crystal of Ba2InAs2 relaxed with PBEsol, from Alexandria.

Computed properties:
**E_form**: -945 meV per atom
**DOS at the Fermi energy**: 2.818 states/eV per cell

a b c (Å): 8.0550 8.0550 4.7144
angles (deg): 90.00 90.00 90.00
Space group P4/mbm (No. 127)
Unique sites:
Ba 0.1820 0.3180 0.0000 (multiplicity 4)
In 0.0000 0.0000 0.5000 (multiplicity 2)
As 0.1091 0.6091 0.5000 (multiplicity 4)

---

No. 3
The following is a SCAN calculation of a crystal of Ba2AsIr relaxed with PBEsol, from Alexandria.

Computed properties:
**E_form**: -507 meV per atom
**DOS at the Fermi energy**: 11.508 states/eV per cell

a b c (Å): 11.7627 11.7627 4.6424
angles (deg): 90.00 90.00 90.00
Space group I-42d (No. 122)
Unique sites:
Ba 0.0638 0.2500 0.1250 (multiplicity 8)
As 0.0000 0.0000 0.5000 (multiplicity 4)
Ir 0.0000 0.0000 0.0000 (multiplicity 4)

---

No. 4
The following is a SCAN calculation of a crystal of Ba2AsIr relaxed with PBEsol, from Alexandria.

Computed properties:
**E_form**: -204 meV per atom
**DOS at the Fermi energy**: 3.504 states/eV per cell

a b c (Å): 4.0655 4.0655 6.6128
angles (deg): 90.00 90.00 90.00
Space group P4/mmm (No. 123)
Unique sites:
Ba 0.0000 0.0000 0.2455 (multiplicity 2)
As 0.5000 0.5000 0.5000 (multiplicity 1)
Ir 0.5000 0.5000 0.0000 (multiplicity 1)

---

No. 5
The following is a SCAN calculation of a crystal of KBa2As relaxed with PBEsol, from Alexandria.

Computed properties:
**E_form**: -752 meV per atom
**DOS at the Fermi energy**: 5.205 states/eV per cell

a b c (Å): 8.1040 4.6694 12.0555
angles (deg): 90.00 102.29 90.00
Space group C2/m (No. 12)
Unique sites:
K 0.0000 0.0000 0.0000 (multiplicity 2)
Ba 0.2139 0.0000 0.6484 (multiplicity 4)
As 0.0000 0.5000 0.5000 (multiplicity 2)

---

No. 6
The following is a SCAN calculation of a crystal of K2BaAs relaxed with PBEsol, from Alexandria.

Computed properties:
**E_form**: -304 meV per atom
**DOS at the Fermi energy**: 9.695 states/eV per cell

a b c (Å): 8.2973 8.2973 8.2973
angles (deg): 90.00 90.00 90.00
Space group F-43m (No. 216)
Unique sites:
K 0.0000 0.0000 0.0000 (multiplicity 4)
K 0.2500 0.2500 0.2500 (multiplicity 4)
Ba 0.2500 0.2500 0.7500 (multiplicity 4)
As 0.0000 0.0000 0.5000 (multiplicity 4)

---

No. 7
The following is a SCAN calculation of a crystal of KBaAs3 relaxed with PBEsol, from Alexandria.

Computed properties:
**E_form**: 559 meV per atom
**DOS at the Fermi energy**: 5.009 states/eV per cell

a b c (Å): 5.8234 5.8234 5.8234
angles (deg): 90.00 90.00 90.00
Space group Pm-3m (No. 221)
Unique sites:
K 0.0000 0.0000 0.0000 (multiplicity 1)
Ba 0.5000 0.5000 0.5000 (multiplicity 1)
As 0.0000 0.5000 0.5000 (multiplicity 3)

---

No. 8
The following is a SCAN calculation of a crystal of K2BaAs relaxed with PBEsol, from Alexandria.

Computed properties:
**E_form**: -160 meV per atom
**DOS at the Fermi energy**: 1.837 states/eV per cell

a b c (Å): 4.7582 4.7582 6.9733
angles (deg): 90.00 90.00 90.00
Space group P4/mmm (No. 123)
Unique sites:
K 0.0000 0.0000 0.2013 (multiplicity 2)
Ba 0.5000 0.5000 0.5000 (multiplicity 1)
As 0.5000 0.5000 0.0000 (multiplicity 1)